1.
Here is Co2GeH after structural relaxation from the Alexandria database. Energies are from PBE.

Lattice parameters (Å, degrees): 5.0068 3.4961 8.6878 90.00 90.00 90.00
Closest atoms and distances in Å follow each position.
Space group Pnma (No. 62)
One atom of each set of equivalent atoms:
1 Co 0.1217 0.2500 0.2364 [4 per cell]  2 H 1.67-1.74
2 Co 0.1566 0.2500 0.9319 [4 per cell]  2 H 1.80
3 Ge 0.1328 0.2500 0.6180 [4 per cell]  1 H 2.34, 7 Co 2.37-2.60
4 H 0.1397 0.7500 0.8827 [4 per cell]  4 Co 1.67-1.80

Computed properties:
Fermi-level density of states: 0.56 states/eV per atom
energy above the most stable polymorph in this dataset: 0.000 eV per atom


2.
Here is GdAlAu2 after structural relaxation from the Alexandria database. Energies are from PBE.

Lattice parameters (Å, degrees): 3.2943 3.2943 7.3060 90.00 90.00 90.00
Closest atoms and distances in Å follow each position.
Space group P4/mmm (No. 123)
One atom of each set of equivalent atoms:
1 Gd 0.0000 0.0000 0.0000 [1 per cell]  8 Au 3.15, 4 Gd 3.29
2 Al 0.0000 0.0000 0.5000 [1 per cell]  8 Au 2.79
3 Au 0.5000 0.5000 0.2900 [2 per cell]  4 Al 2.79, 1 Au 3.07

Computed properties:
Fermi-level density of states: 0.60 states/eV per atom
E_form: -581 meV per atom


3.
Here is BaSmAu2 after structural relaxation from the Alexandria database. Energies are from PBE.

Lattice parameters (Å, degrees): 3.8219 3.8219 7.8004 90.00 90.00 90.00
Closest atoms and distances in Å follow each position.
Space group P4/mmm (No. 123)
One atom of each set of equivalent atoms:
1 Ba 0.0000 0.0000 0.0000 [1 per cell]  8 Au 3.57, 4 Ba 3.82, 2 Sm 3.90
2 Sm 0.0000 0.0000 0.5000 [1 per cell]  8 Au 3.12
3 Au 0.5000 0.5000 0.2995 [2 per cell]  4 Sm 3.12, 1 Au 3.13

Computed properties:
Fermi-level density of states: 0.75 states/eV per atom
E_form: -737 meV per atom


4.
Here is CdPRu2 after structural relaxation from the Alexandria database. Energies are from PBE.

Lattice parameters (Å, degrees): 2.8914 2.8914 26.1894 90.00 90.00 120.00
Closest atoms and distances in Å follow each position.
Space group R3m (No. 160, hexagonal axes)
One atom of each set of equivalent atoms:
1 Cd 0.0000 0.0000 0.0000 [3 per cell]  3 Ru 2.88, 6 Cd 2.89, 3 P 3.07
2 P 0.0000 0.0000 0.7651 [3 per cell]  3 Ru 2.35
3 Ru 0.0000 0.0000 0.2439 [3 per cell]  9 Ru 2.73-2.89, 3 Cd 2.88
4 Ru 0.0000 0.0000 0.4950 [3 per cell]  3 P 2.35

Computed properties:
Fermi-level density of states: 0.91 states/eV per atom
energy above the most stable polymorph in this dataset: 0.284 eV per atom
E_form: 157 meV per atom


5.
Here is YFeAg2 after structural relaxation from the Alexandria database. Energies are from PBE.

Lattice parameters (Å, degrees): 6.7599 6.7599 6.7599 90.00 90.00 90.00
Closest atoms and distances in Å follow each position.
Space group F-43m (No. 216)
One atom of each set of equivalent atoms:
1 Y 0.0000 0.0000 0.0000 [4 per cell]  4 Fe 2.93, 4 Ag 2.93
2 Fe 0.2500 0.2500 0.2500 [4 per cell]  4 Y 2.93, 4 Ag 2.93
3 Ag 0.0000 0.0000 0.5000 [4 per cell]  4 Fe 2.93, 4 Ag 2.93
4 Ag 0.2500 0.2500 0.7500 [4 per cell]  4 Y 2.93, 4 Ag 2.93

Computed properties:
Fermi-level density of states: 1.93 states/eV per atom
E_form: 172 meV per atom


6.
Here is K2ZnSb after structural relaxation from the Alexandria database. Energies are from PBE.

Lattice parameters (Å, degrees): 4.6031 5.4395 12.3949 90.00 90.00 90.00
Closest atoms and distances in Å follow each position.
Space group Amm2 (No. 38)
One atom of each set of equivalent atoms:
1 K 0.0000 0.0000 0.0000 [2 per cell]  3 Sb 3.68-3.70, 4 Zn 3.75
2 K 0.5000 0.0000 0.2900 [2 per cell]  3 Zn 3.64-3.78, 4 Sb 3.72
3 Zn 0.5000 0.0000 0.5946 [2 per cell]  2 Sb 2.66
4 Sb 0.0000 0.0000 0.7027 [2 per cell]  2 Zn 2.66

Computed properties:
Fermi-level density of states: 0.55 states/eV per atom
energy above the most stable polymorph in this dataset: 0.000 eV per atom


7.
Here is Ac2La6Pr after structural relaxation from the Alexandria database. Energies are from PBE.

Lattice parameters (Å, degrees): 10.5655 10.5655 3.6275 90.00 90.00 120.00
Closest atoms and distances in Å follow each position.
Space group P-31m (No. 162)
One atom of each set of equivalent atoms:
1 Ac 0.3333 0.6667 0.0000 [2 per cell]  2 Ac 3.63, 6 La 3.68
2 La 0.0000 0.3278 0.7338 [6 per cell]  1 Pr 3.57, 6 La 3.63-3.97, 2 Ac 3.68
3 Pr 0.0000 0.0000 0.5000 [1 per cell]  6 La 3.57, 2 Pr 3.63

Computed properties:
Fermi-level density of states: 2.24 states/eV per atom
energy above the most stable polymorph in this dataset: 0.089 eV per atom
E_form: 144 meV per atom


8.
Here is CsRbIn2Au after structural relaxation from the Alexandria database. Energies are from PBE.

Lattice parameters (Å, degrees): 5.6009 5.6009 6.5240 90.00 90.00 90.00
Closest atoms and distances in Å follow each position.
Space group P4/mmm (No. 123)
One atom of each set of equivalent atoms:
1 Cs 0.0000 0.0000 0.0000 [1 per cell]  4 Rb 3.96, 8 In 4.30
2 Rb 0.5000 0.5000 0.0000 [1 per cell]  2 Au 3.26
3 In 0.0000 0.5000 0.5000 [2 per cell]  2 Au 2.80
4 Au 0.5000 0.5000 0.5000 [1 per cell]  4 In 2.80

Computed properties:
Fermi-level density of states: 0.74 states/eV per atom
E_form: -48 meV per atom


Look up the Fermi-level density of states of the sixth one. 0.55 states/eV per atom